This record from Alexandria via LeMat-Bulk describes an optimized crystal structure of Cs3Cd5Ag2. The functional is GGA-PBE.

Cell lengths 10.5821, 10.5821, 10.5821 Å; angles 112.74, 83.03, 137.30 degrees
With the nearest neighbours (Å) after each atom.
Positions (direct):
Cs (0.1297, 0.7340, 0.8637)  1 Ag 3.50, 2 Cd 3.86
Cs (0.2500, 0.2500, 0.0000)  4 Ag 3.60, 2 Cs 3.85, 2 Cd 3.96
Cs (0.3703, 0.2340, 0.6042)  1 Ag 3.50, 2 Cd 3.86
Cs (0.6297, 0.7660, 0.3958)  1 Ag 3.50, 2 Cd 3.86
Cs (0.7500, 0.7500, 0.0000)  4 Ag 3.60, 2 Cs 3.85, 2 Cd 3.96
Cs (0.8703, 0.2660, 0.1363)  1 Ag 3.50, 2 Cd 3.86
Cd (0.0003, 0.2500, 0.7503)  2 Ag 2.93, 2 Cd 3.14
Cd (0.9997, 0.7500, 0.2497)  2 Ag 2.93, 2 Cd 3.14
Cd (0.1206, 0.3819, 0.5025)  1 Ag 2.86, 4 Cd 3.05-3.14
Cd (0.2500, 0.7500, 0.5000)  4 Cd 3.05
Cd (0.3794, 0.8819, 0.2614)  1 Ag 2.86, 4 Cd 3.05-3.14
Cd (0.4997, 0.2500, 0.2497)  2 Ag 2.93, 2 Cd 3.14
Cd (0.5003, 0.7500, 0.7503)  2 Ag 2.93, 2 Cd 3.14
Cd (0.6206, 0.1181, 0.7386)  1 Ag 2.86, 4 Cd 3.05-3.14
Cd (0.7500, 0.2500, 0.5000)  4 Cd 3.05
Cd (0.8794, 0.6181, 0.4975)  1 Ag 2.86, 4 Cd 3.05-3.14
Ag (0.1599, 0.1438, 0.3037)  3 Cd 2.86-2.93
Ag (0.3401, 0.6438, 0.9838)  3 Cd 2.86-2.93
Ag (0.6599, 0.3562, 0.0162)  3 Cd 2.86-2.93
Ag (0.8401, 0.8562, 0.6963)  3 Cd 2.86-2.93

Summary:
Electronic total energy = -25.6 eV/cell
ΔE_f = 4.4 meV per atom
Total magnetic moment = 0.00 μB per atom